Entry 1:
A geometry-optimized Ti2ReHPt structure. Source: Alexandria, functional PBE.

abc: 4.2020 4.2020 3.6309
angles: 90.00 90.00 90.00
Closest atoms and distances in Å follow each position.
Positions (direct):
Re (0.0000, 0.0000, 0.5000)  2 H 1.82
H (0.0000, 0.0000, 0.0000)  2 Re 1.82
Pt (0.5000, 0.5000, 0.5000)  8 Ti 2.78, 4 Re 2.97
Ti (0.0000, 0.5000, 0.0000)  2 H 2.10
Ti (0.5000, 0.0000, 0.0000)  2 H 2.10

Summary:
symmetry = No. 123
ΔE to the lowest computed polymorph = 0 meV per atom


Entry 2:
A geometry-optimized K2Li2Re structure. Source: Alexandria, functional PBE.

abc: 9.7640 9.7640 2.7630
angles: 90.00 90.00 90.00
Closest atoms and distances in Å follow each position.
Positions (direct):
Re (0.0000, 0.0000, 0.0000)  2 Re 2.76
Re (0.5000, 0.5000, 0.0000)  2 Re 2.76
K (0.3020, 0.8020, 0.0000)  2 K 2.76
K (0.8020, 0.6980, 0.0000)  2 K 2.76
K (0.6980, 0.1980, 0.0000)  2 K 2.76
K (0.1980, 0.3020, 0.0000)  2 K 2.76
Li (0.0985, 0.5985, 0.5000)  3 Li 2.72-2.76
Li (0.5985, 0.9015, 0.5000)  3 Li 2.72-2.76
Li (0.9015, 0.4015, 0.5000)  3 Li 2.72-2.76
Li (0.4015, 0.0985, 0.5000)  3 Li 2.72-2.76

Summary:
symmetry = No. 127
formation energy = 1221 meV per atom
ΔE to the lowest computed polymorph = 0 meV per atom


Entry 3:
A geometry-optimized TbPm6Tl5 structure. Source: Alexandria, functional PBE.

abc: 5.0837 9.0661 9.3095
angles: 119.14 105.85 90.00
Closest atoms and distances in Å follow each position.
Positions (direct):
Tl (0.6494, 0.1494, 0.2987)  8 Pm 3.35-3.52, 2 Tb 3.43, 2 Tl 3.72
Tl (0.3251, 0.3251, 0.6501)  8 Pm 3.34-3.42, 4 Tl 3.71-3.72
Tl (0.0000, 0.5000, 0.0000)  8 Pm 3.30-3.41
Tl (0.6749, 0.6749, 0.3499)  8 Pm 3.34-3.42, 4 Tl 3.71-3.72
Tl (0.3506, 0.8506, 0.7013)  8 Pm 3.35-3.52, 2 Tb 3.43, 2 Tl 3.72
Tb (0.0000, 0.0000, 0.0000)  4 Tl 3.43, 8 Pm 3.52-3.55
Pm (0.8288, 0.5672, 0.6577)  7 Tl 3.34-3.52, 4 Pm 3.53-3.67, 1 Tb 3.55
Pm (0.8288, 0.0905, 0.6577)  7 Tl 3.34-3.52, 4 Pm 3.53-3.67, 1 Tb 3.55
Pm (0.5000, 0.7314, 0.0000)  6 Tl 3.30-3.42, 2 Tb 3.52, 4 Pm 3.67
Pm (0.5000, 0.2686, 0.0000)  6 Tl 3.30-3.42, 2 Tb 3.52, 4 Pm 3.67
Pm (0.1712, 0.9095, 0.3423)  7 Tl 3.34-3.52, 4 Pm 3.53-3.67, 1 Tb 3.55
Pm (0.1712, 0.4328, 0.3423)  7 Tl 3.34-3.52, 4 Pm 3.53-3.67, 1 Tb 3.55

Summary:
symmetry = No. 71
formation energy = -300 meV per atom


Entry 4:
A geometry-optimized Ti2Hg2Pd structure. Source: Alexandria, functional PBE.

abc: 7.2146 7.2146 3.6441
angles: 90.00 90.00 90.00
Closest atoms and distances in Å follow each position.
Positions (direct):
Hg (0.3600, 0.8600, 0.0000)  6 Ti 2.71-2.85, 2 Pd 2.79, 1 Hg 2.86
Hg (0.8600, 0.6400, 0.0000)  6 Ti 2.71-2.85, 2 Pd 2.79, 1 Hg 2.86
Hg (0.6400, 0.1400, 0.0000)  6 Ti 2.71-2.85, 2 Pd 2.79, 1 Hg 2.86
Hg (0.1400, 0.3600, 0.0000)  6 Ti 2.71-2.85, 2 Pd 2.79, 1 Hg 2.86
Pd (0.0000, 0.0000, 0.0000)  4 Hg 2.79
Pd (0.5000, 0.5000, 0.0000)  4 Hg 2.79
Ti (0.1632, 0.6632, 0.5000)  6 Hg 2.71-2.85
Ti (0.6632, 0.8368, 0.5000)  6 Hg 2.71-2.85
Ti (0.8368, 0.3368, 0.5000)  6 Hg 2.71-2.85
Ti (0.3368, 0.1632, 0.5000)  6 Hg 2.71-2.85

Summary:
symmetry = No. 127
formation energy = 67 meV per atom
ΔE to the lowest computed polymorph = 0 meV per atom


Entry 5:
A geometry-optimized CdOsSe4 structure. Source: Alexandria, functional PBE.

abc: 5.6416 5.6416 5.6416
angles: 60.00 60.00 60.00
Closest atoms and distances in Å follow each position.
Positions (direct):
Cd (0.7500, 0.7500, 0.7500)  12 Se 3.31, 4 Os 3.45
Os (0.0000, 0.0000, 0.0000)  12 Se 3.31, 4 Cd 3.45
Se (0.8784, 0.3739, 0.3739)  6 Se 2.80-2.85
Se (0.3739, 0.3739, 0.8784)  6 Se 2.80-2.85
Se (0.3739, 0.8784, 0.3739)  6 Se 2.80-2.85
Se (0.3739, 0.3739, 0.3739)  6 Se 2.80-2.85

Summary:
uncorrected formation energy = 1.228 eV per atom
symmetry = No. 216


Entry 6:
A geometry-optimized Hf4Ti5Pb2 structure. Source: Alexandria, functional PBE.

abc: 5.5143 5.3482 10.3455
angles: 82.10 74.54 58.97
Closest atoms and distances in Å follow each position.
Positions (direct):
Hf (0.7989, 0.6592, 0.7430)  5 Ti 2.88-3.00, 1 Pb 3.11, 3 Hf 3.12
Hf (0.2011, 0.3408, 0.2570)  5 Ti 2.88-3.00, 1 Pb 3.11, 3 Hf 3.12
Hf (0.5419, 0.6592, 0.2570)  5 Ti 2.88-3.00, 1 Pb 3.11, 3 Hf 3.12
Hf (0.4581, 0.3408, 0.7430)  5 Ti 2.88-3.00, 1 Pb 3.11, 3 Hf 3.12
Ti (0.5000, 0.0000, 0.0000)  4 Ti 2.67
Ti (0.0000, 0.5000, 0.0000)  4 Ti 2.67-2.76
Ti (0.5000, 0.5000, 0.0000)  4 Ti 2.67-2.76
Ti (0.2500, 0.5000, 0.5000)  2 Ti 2.76, 4 Hf 2.88
Ti (0.7500, 0.5000, 0.5000)  2 Ti 2.76, 4 Hf 2.88
Pb (0.9090, 0.0000, 0.1821)  6 Hf 3.11-3.26, 6 Ti 3.23-3.30
Pb (0.0910, 0.0000, 0.8179)  6 Hf 3.11-3.26, 6 Ti 3.23-3.30

Summary:
symmetry = No. 69
formation energy = 541 meV per atom


Entry 7:
A geometry-optimized Pr2Nd5Tm12 structure. Source: Alexandria, functional PBE.

abc: 6.4519 11.8595 16.6416
angles: 149.53 108.47 74.72
Closest atoms and distances in Å follow each position.
Positions (direct):
Pr (0.7292, 0.0237, 0.9651)  4 Tm 3.30-3.42, 1 Pr 3.38, 1 Nd 3.38
Pr (0.2708, 0.9763, 0.0349)  4 Tm 3.30-3.42, 1 Pr 3.38, 1 Nd 3.38
Nd (0.3558, 0.6068, 0.6399)  7 Tm 3.37-3.66, 2 Pr 3.38-3.75, 1 Nd 3.77
Nd (0.2239, 0.6747, 0.1585)  5 Tm 3.24-3.43, 1 Nd 3.51
Nd (0.0000, 0.0000, 0.5000)  10 Tm 3.47-3.74, 2 Nd 3.71
Nd (0.7761, 0.3253, 0.8415)  5 Tm 3.24-3.43, 1 Nd 3.51
Nd (0.6442, 0.3932, 0.3601)  7 Tm 3.37-3.66, 2 Pr 3.38-3.75, 1 Nd 3.77
Tm (0.0880, 0.0867, 0.2636)  1 Pr 3.32, 3 Nd 3.37-3.53, 5 Tm 3.48-3.55
Tm (0.2555, 0.5159, 0.8706)  3 Nd 3.38-3.47, 1 Pr 3.42, 7 Tm 3.44-3.76
Tm (0.7170, 0.6681, 0.8962)  1 Nd 3.24, 2 Pr 3.30-3.33, 6 Tm 3.35-3.61
Tm (0.0744, 0.5512, 0.3834)  5 Tm 3.39-3.64, 4 Nd 3.49-3.71, 1 Pr 3.70
Tm (0.5630, 0.8079, 0.4630)  6 Tm 3.35-3.54, 5 Nd 3.40-3.74
Tm (0.3594, 0.0818, 0.7740)  7 Tm 3.47-3.76, 4 Nd 3.66-3.88, 1 Pr 3.79
Tm (0.6406, 0.9182, 0.2260)  7 Tm 3.47-3.76, 4 Nd 3.66-3.88, 1 Pr 3.79
Tm (0.9256, 0.4488, 0.6166)  5 Tm 3.39-3.64, 4 Nd 3.49-3.71, 1 Pr 3.70
Tm (0.4370, 0.1921, 0.5370)  6 Tm 3.35-3.54, 5 Nd 3.40-3.74
Tm (0.7445, 0.4841, 0.1294)  3 Nd 3.38-3.47, 1 Pr 3.42, 7 Tm 3.44-3.76
Tm (0.2830, 0.3319, 0.1038)  1 Nd 3.24, 2 Pr 3.30-3.33, 6 Tm 3.35-3.61
Tm (0.9120, 0.9133, 0.7364)  1 Pr 3.32, 3 Nd 3.37-3.53, 5 Tm 3.48-3.55

Summary:
symmetry = No. 2
formation energy = 76 meV per atom
ΔE to the lowest computed polymorph = 0 meV per atom


Entry 8:
A geometry-optimized La5Ru structure. Source: Alexandria, functional PBE.

abc: 3.6108 3.6108 14.8485
angles: 90.00 90.00 90.00
Closest atoms and distances in Å follow each position.
Positions (direct):
La (0.0000, 0.0000, 0.8859)  4 Ru 3.06, 1 La 3.39
La (0.0000, 0.0000, 0.1141)  4 Ru 3.06, 1 La 3.39
La (0.5000, 0.5000, 0.6754)  12 La 3.61-4.04
La (0.5000, 0.5000, 0.3246)  12 La 3.61-4.04
La (0.0000, 0.0000, 0.5000)  12 La 3.61-3.65
Ru (0.5000, 0.5000, 0.0000)  8 La 3.06

Summary:
symmetry = No. 123
formation energy = -58 meV per atom
ΔE to the lowest computed polymorph = 35 meV per atom


Entry 9:
A geometry-optimized SrInIBr4 structure. Source: Alexandria, functional PBE.

abc: 8.1895 8.1895 10.5882
angles: 79.88 79.88 71.24
Closest atoms and distances in Å follow each position.
Positions (direct):
Sr (0.1735, 0.1735, 0.9750)  2 I 3.17-3.19, 5 Br 3.23-3.47
Sr (0.8265, 0.8265, 0.0250)  2 I 3.17-3.19, 5 Br 3.23-3.47
In (0.6262, 0.6262, 0.7413)  4 Br 2.47-2.64
In (0.3738, 0.3738, 0.2587)  4 Br 2.47-2.64
I (0.9830, 0.9830, 0.2141)  2 Sr 3.17-3.19
I (0.0170, 0.0170, 0.7859)  2 Sr 3.17-3.19
Br (0.3298, 0.3298, 0.4973)  1 In 2.47
Br (0.6702, 0.6702, 0.5027)  1 In 2.47
Br (0.0751, 0.4696, 0.1643)  1 In 2.64
Br (0.5639, 0.5639, 0.1552)  1 In 2.53
Br (0.5304, 0.9249, 0.8357)  1 In 2.64
Br (0.4696, 0.0751, 0.1643)  1 In 2.64
Br (0.4361, 0.4361, 0.8448)  1 In 2.53
Br (0.9249, 0.5304, 0.8357)  1 In 2.64

Summary:
uncorrected formation energy = -1.209 eV per atom
symmetry = No. 12


Entry 10:
A geometry-optimized BaSrAc2Se4 structure. Source: Alexandria, functional PBE.

abc: 4.4982 7.8771 7.8092
angles: 70.81 90.00 90.00
Closest atoms and distances in Å follow each position.
Positions (direct):
Ba (0.5000, 0.5000, 0.0000)  6 Se 3.26
Sr (0.0000, 0.5000, 0.5000)  6 Se 3.19
Ac (0.0000, 0.0000, 0.0000)  6 Se 3.20-3.21
Ac (0.5000, 0.0000, 0.5000)  6 Se 3.14
Se (0.0000, 0.7588, 0.7401)  3 Ac 3.14-3.20, 1 Sr 3.19, 2 Ba 3.26
Se (0.0000, 0.2412, 0.2599)  3 Ac 3.14-3.20, 1 Sr 3.19, 2 Ba 3.26
Se (0.5000, 0.7530, 0.2562)  3 Ac 3.14-3.21, 2 Sr 3.19, 1 Ba 3.26
Se (0.5000, 0.2470, 0.7438)  3 Ac 3.14-3.21, 2 Sr 3.19, 1 Ba 3.26

Summary:
uncorrected formation energy = -1.938 eV per atom
symmetry = No. 10


Entry 11:
A geometry-optimized Tl3SnSb structure. Source: Alexandria, functional PBE.

abc: 6.9892 6.9892 8.9846
angles: 106.86 127.90 80.64
Closest atoms and distances in Å follow each position.
Positions (direct):
Tl (0.7791, 0.9271, 0.2037)  2 Sb 3.35-3.36, 2 Sn 3.45-3.55, 5 Tl 3.46-3.75
Tl (0.2766, 0.4247, 0.2037)  2 Sb 3.35-3.36, 2 Sn 3.45-3.55, 5 Tl 3.46-3.75
Tl (0.7234, 0.5753, 0.7963)  2 Sb 3.35-3.36, 2 Sn 3.45-3.55, 5 Tl 3.46-3.75
Tl (0.7643, 0.4142, 0.1786)  2 Sb 3.24-3.27, 1 Sn 3.39, 5 Tl 3.41-3.54
Tl (0.2209, 0.0729, 0.7963)  2 Sb 3.35-3.36, 2 Sn 3.45-3.55, 5 Tl 3.46-3.75
Tl (0.2357, 0.5858, 0.8214)  2 Sb 3.24-3.27, 1 Sn 3.39, 5 Tl 3.41-3.54
Sn (0.7407, 0.0710, 0.8117)  2 Sb 3.00-3.05
Sn (0.2593, 0.9290, 0.1883)  2 Sb 3.00-3.05
Sb (0.7331, 0.7632, 0.4964)  2 Sn 3.00-3.05, 4 Tl 3.24-3.35
Sb (0.2669, 0.2368, 0.5036)  2 Sn 3.00-3.05, 4 Tl 3.24-3.35

Summary:
uncorrected formation energy = 0.052 eV per atom
symmetry = No. 12
ΔE to the lowest computed polymorph = 28 meV per atom


Entry 12:
A geometry-optimized GdTmAlIr structure. Source: Alexandria, functional PBE.

abc: 4.9603 4.9603 4.9603
angles: 60.00 60.00 60.00
Closest atoms and distances in Å follow each position.
Positions (direct):
Gd (0.7500, 0.7500, 0.7500)  4 Ir 3.04, 4 Al 3.04
Ir (0.5000, 0.5000, 0.5000)  4 Gd 3.04, 4 Tm 3.04
Tm (0.2500, 0.2500, 0.2500)  4 Ir 3.04, 4 Al 3.04
Al (0.0000, 0.0000, 0.0000)  4 Tm 3.04, 4 Gd 3.04

Summary:
symmetry = No. 216
formation energy = -566 meV per atom


| no. | VASP energy (eV per atom) | M_tot (μB per cell) |
| --- | --- | --- |
| 1 | -8.0237 | 0.00 |
| 2 | -2.4731 | 3.49 |
| 3 | -4.0475 | 0.00 |
| 4 | -4.2498 | 0.02 |
| 5 | -3.1192 | 2.64 |
| 6 | -7.3415 | 0.50 |
| 7 | -4.5056 | 0.00 |
| 8 | -5.7099 | 0.00 |
| 9 | -3.0183 | 0.00 |
| 10 | -5.1580 | 0.00 |
| 11 | -2.9925 | 0.00 |
| 12 | -8.3550 | 7.12 |